Entry 1:
Compound: SrY2MgNi
Source: Alexandria
Functional: PBE
Structure: relaxed

The calculation puts the calculated formation energy at -0.072 eV per atom. The crystal system is tetragonal. The raw total energy is -4.47 eV per atom.

The space group is P4/mmm (No. 123) and the conventional cell measures 5.323, 5.323 and 5.254 Å, with angles of 90.00, 90.00 and 90.00 degrees. The asymmetric unit holds Sr at (0.000, 0.000, 0.000), Y at (0.000, 0.500, 0.500), Mg at (0.500, 0.500, 0.000) and Ni at (0.500, 0.500, 0.500).

=====

Entry 2:
Compound: Sr2MgZn12Ni3
Source: Alexandria
Functional: PBE
Structure: relaxed

The calculation puts the calculated formation energy at 0.168 eV per atom. The crystal system is trigonal. The raw total energy is -1.92 eV per atom.

The space group is R-3m (No. 166, hexagonal axes) and the conventional cell measures 8.3792, 8.3792 and 20.3849 Å, with angles of 90.00, 90.00 and 120.00 degrees. The asymmetric unit holds Sr at (0.0000, 0.0000, 0.1052), Mg at (0.0000, 0.0000, 0.5000), Zn at (0.0148, 0.5074, 0.8851), Zn at (0.0290, 0.5145, 0.3331) and Ni at (0.0000, 0.5000, 0.0000).

=====

Entry 3:
Compound: SrMgZn2Ni
Source: Alexandria
Functional: PBE
Structure: relaxed

The calculation puts the calculated formation energy at -0.162 eV per atom. The crystal system is orthorhombic. Its energy above the most stable polymorph in this dataset is 0 meV/atom. The raw total energy is -2.48 eV per atom.

The space group is Imm2 (No. 44) and the conventional cell measures 4.278, 4.296 and 11.380 Å, with angles of 90.00, 90.00 and 90.00 degrees. The asymmetric unit holds Sr at (0.000, 0.000, 0.000), Mg at (0.000, 0.500, 0.761), Zn at (0.000, 0.000, 0.606), Zn at (0.000, 0.500, 0.268) and Ni at (0.000, 0.000, 0.392).

=====

Entry 4:
Compound: SrMgZn2Ni
Source: Alexandria
Functional: PBE
Structure: relaxed

The calculation puts the calculated formation energy at -0.143 eV per atom. The crystal system is tetragonal. Its energy above the most stable polymorph in this dataset is 19 meV/atom. The raw total energy is -2.46 eV per atom.

The space group is P4/mmm (No. 123) and the conventional cell measures 4.772, 4.772 and 4.788 Å, with angles of 90.00, 90.00 and 90.00 degrees. The asymmetric unit holds Sr at (0.000, 0.000, 0.000), Mg at (0.500, 0.500, 0.000), Zn at (0.000, 0.500, 0.500) and Ni at (0.500, 0.500, 0.500).

=====

Entry 5:
Compound: MgTaNi2
Source: Alexandria
Functional: PBE
Structure: relaxed

The calculation puts the calculated formation energy at 0.033 eV per atom. The crystal system is orthorhombic. The raw total energy is -6.22 eV per atom.

The space group is Pmm2 (No. 25) and the conventional cell measures 2.762, 3.977 and 5.302 Å, with angles of 90.00, 90.00 and 90.00 degrees. The asymmetric unit holds Mg at (0.000, 0.000, 0.000), Ta at (0.500, 0.500, 0.663), Ni at (0.000, 0.000, 0.475) and Ni at (0.500, 0.500, 0.186).

=====

Entry 6:
Compound: Mg2TaNi
Source: Alexandria
Functional: PBE
Structure: relaxed

The calculation puts the calculated formation energy at 0.271 eV per atom. The crystal system is orthorhombic. The raw total energy is -4.93 eV per atom.

The space group is Pmmm (No. 47) and the conventional cell measures 2.808, 4.191 and 5.706 Å, with angles of 90.00, 90.00 and 90.00 degrees. The asymmetric unit holds Mg at (0.000, 0.000, 0.232), Ta at (0.500, 0.500, 0.500) and Ni at (0.500, 0.500, 0.000).

=====

Entry 7:
Compound: MgTaNi5
Source: Alexandria
Functional: PBE
Structure: relaxed

The calculation puts the calculated formation energy at 0.060 eV per atom. The crystal system is tetragonal. The raw total energy is -5.99 eV per atom.

The space group is P4/mmm (No. 123) and the conventional cell measures 4.291, 4.291 and 5.257 Å, with angles of 90.00, 90.00 and 90.00 degrees. The asymmetric unit holds Mg at (0.000, 0.000, 0.000), Ta at (0.500, 0.500, 0.500), Ni at (0.000, 0.500, 0.253) and Ni at (0.500, 0.500, 0.000).

=====

Entry 8:
Compound: MgTaNi2
Source: Alexandria
Functional: PBE
Structure: relaxed

The calculation puts the calculated formation energy at 0.029 eV per atom. The crystal system is trigonal. The raw total energy is -6.22 eV per atom.

The space group is R-3m (No. 166, hexagonal axes) and the conventional cell measures 2.9450, 2.9450 and 24.4130 Å, with angles of 90.00, 90.00 and 120.00 degrees. The asymmetric unit holds Mg at (0.0000, 0.0000, 0.0000), Ta at (0.0000, 0.0000, 0.5000) and Ni at (0.0000, 0.0000, 0.2459).

=====

Question: The highest raw total energy belongs to which entry?
Answer: Sr2MgZn12Ni3

=====

Question: Number 6 is which compound?
Answer: Mg2TaNi

=====

Please write out number 2 again, unchanged.
Compound: Sr2MgZn12Ni3
Source: Alexandria
Functional: PBE
Structure: relaxed

The calculation puts the calculated formation energy at 0.168 eV per atom. The crystal system is trigonal. The raw total energy is -1.92 eV per atom.

The space group is R-3m (No. 166, hexagonal axes) and the conventional cell measures 8.3792, 8.3792 and 20.3849 Å, with angles of 90.00, 90.00 and 120.00 degrees. The asymmetric unit holds Sr at (0.0000, 0.0000, 0.1052), Mg at (0.0000, 0.0000, 0.5000), Zn at (0.0148, 0.5074, 0.8851), Zn at (0.0290, 0.5145, 0.3331) and Ni at (0.0000, 0.5000, 0.0000).

=====

Question: Which formula does entry 3 have?
Answer: SrMgZn2Ni